No. 1
The following is a DFT calculation (GGA-PBE) of a geometry-optimized YTmGaPt structure.

Unit cell a=4.457 b=5.722 c=5.722 alpha=38.18 beta=90.00 gamma=90.00
Fractional coordinates of all 4 atoms:
Y 0.000 0.000 0.000
Tm 0.500 0.284 0.284
Ga 0.000 0.722 0.722
Pt 0.500 0.568 0.568

Computed properties:
* magnetic moment: 0.00 μB per formula unit
* raw total energy: -23.81 eV per cell
* offset from the most stable computed form: 0.000 eV per atom

=====

No. 2
The following is a DFT calculation (GGA-PBE) of a geometry-optimized HoErTmZr structure.

Unit cell a=5.455 b=5.455 c=5.455 alpha=60.00 beta=60.00 gamma=60.00
Fractional coordinates of all 4 atoms:
Ho 0.000 0.000 0.000
Er 0.250 0.250 0.250
Tm 0.750 0.750 0.750
Zr 0.500 0.500 0.500

Computed properties:
* magnetic moment: 2.90 μB per formula unit
* raw total energy: -21.35 eV per cell
* offset from the most stable computed form: 0.126 eV per atom

=====

No. 3
The following is a DFT calculation (GGA-PBE) of a geometry-optimized VGeAs structure.

Unit cell a=9.452 b=8.707 c=5.163 alpha=81.60 beta=65.69 gamma=32.71
Fractional coordinates of all 12 atoms:
V 0.001 0.001 0.749
V 0.251 0.251 0.999
V 0.749 0.749 0.001
V 0.999 0.999 0.251
Ge 0.299 0.299 0.451
Ge 0.451 0.451 0.299
Ge 0.549 0.549 0.701
Ge 0.701 0.701 0.549
As 0.043 0.707 0.043
As 0.293 0.957 0.293
As 0.707 0.043 0.707
As 0.957 0.293 0.957

Computed properties:
* magnetic moment: 0.00 μB per formula unit
* raw total energy: -76.02 eV per cell

=====

In Å³ per cell, the calculated volume values for the records above are, in order, 90, 115, 191.
In eV per atom, the E_form values for the records above are, in order, -0.9528, 0.2018, -0.2062.